A plane-wave DFT calculation with GGA+U was carried out for crystalline LiCr4In4O12 at its relaxed geometry.

a b c (Å): 5.2076 7.9665 5.6201
angles (deg): 90.00 90.74 90.00
Fractional positions:
Li 0.0000 0.0000 0.0000
Cr 0.4318 0.2512 0.2647
Cr 0.4318 0.7488 0.2647
Cr 0.9341 0.2639 0.7633
Cr 0.9341 0.7361 0.7633
In 0.4032 0.5000 0.7016
In 0.4778 0.0000 0.8330
In 0.8835 0.0000 0.3810
In 0.9626 0.5000 0.2053
O 0.0850 0.0000 0.7076
O 0.1338 0.3251 0.4662
O 0.1338 0.6749 0.4662
O 0.2382 0.3247 0.9681
O 0.2382 0.6753 0.9681
O 0.2852 0.0000 0.2079
O 0.5676 0.5000 0.3271
O 0.6294 0.1792 0.5666
O 0.6294 0.8208 0.5666
O 0.7433 0.1714 0.0656
O 0.7433 0.8286 0.0656
O 0.7959 0.5000 0.8310

Values from the calculation:
**DFT total energy**: -6.484 eV/atom
**Excess energy over the best structure of this formula in the dataset**: 0.012 eV/atom